[1]
! Pa2CrFeN6 PBE-GGA relaxed; values from VASP
! Formation energy from raw total energies: -726 meV per atom
! Symmetry: No. 99
&SYSTEM
  ibrav = 0, nat = 10, ntyp = 4
/
ATOMIC_SPECIES
N 14.01 N.upf
Fe 55.84 Fe.upf
Cr 52.00 Cr.upf
Pa 231.04 Pa.upf
ATOMIC_POSITIONS crystal
N 0.7199 0.7472 0.7472
N 0.7199 0.7472 0.2528
N 0.7199 0.2528 0.2528
N 0.1925 0.0000 0.0000
N 0.7199 0.2528 0.7472
N 0.1976 0.5000 0.5000
Fe 0.5988 0.0000 0.0000
Cr 0.5815 0.5000 0.5000
Pa 0.9983 0.0000 0.5000
Pa 0.9983 0.5000 0.0000
CELL_PARAMETERS angstrom
-3.4656 2.7617 0.1943
-3.2846 -4.1295 0.1085
0.2484 -0.0591 5.2715

[2]
! YErGeRh PBE-GGA relaxed; values from VASP
! DFT formation energy: -0.749 eV per atom
! Symmetry: No. 216
&SYSTEM
  ibrav = 0, nat = 4, ntyp = 4
/
ATOMIC_SPECIES
Y 88.91 Y.upf
Rh 102.91 Rh.upf
Er 167.26 Er.upf
Ge 72.64 Ge.upf
ATOMIC_POSITIONS crystal
Y 0.5000 0.5000 0.5000
Rh 0.7500 0.7500 0.7500
Er 0.0000 0.0000 0.0000
Ge 0.2500 0.2500 0.2500
CELL_PARAMETERS angstrom
4.9336 0.0000 0.0000
2.4668 4.2726 0.0000
2.4668 1.4242 4.0283

no.,total DFT energy (no corrections) (eV per atom)
1,-9.4286
2,-6.4977